(1)
TiBeP2Cl | PBE | optimized geometry

The calculation puts the energy relative to the lowest polymorph listed for this composition at 0 meV per atom. The calculation puts the electronic total energy at -22.833 eV/f.u. The formation energy (no corrections) comes out at 291 meV/atom. The density of states at the Fermi level comes out at 5.06 states/eV per cell.

It has space group P4/mmm (No. 123), with a = 4.180 Å, b = 4.180 Å, c = 4.677 Å, α = 90.00°, β = 90.00° and γ = 90.00°. The asymmetric unit holds Ti at (0.000, 0.000, 0.000), Be at (0.500, 0.500, 0.500), P at (0.000, 0.500, 0.500) and Cl at (0.500, 0.500, 0.000).

(2)
Sc3HgO | PBE | optimized geometry

The calculation puts the energy relative to the lowest polymorph listed for this composition at 663 meV per atom. The calculation puts the electronic total energy at -28.404 eV/f.u. The formation energy (no corrections) comes out at -830 meV/atom. The density of states at the Fermi level comes out at 11.29 states/eV per cell.

It has space group R3m (No. 160, hexagonal axes), with a = 8.5526 Å, b = 8.5526 Å, c = 5.6425 Å, α = 90.00°, β = 90.00° and γ = 120.00°. The asymmetric unit holds Sc at (0.2074, 0.4148, 0.0000), Hg at (0.0000, 0.0000, 0.9009) and O at (0.0000, 0.0000, 0.4531).

(3)
TcRu2Rh4 | PBE | optimized geometry

The calculation puts the energy relative to the lowest polymorph listed for this composition at 169 meV per atom. The calculation puts the electronic total energy at -56.496 eV/f.u. The calculation puts the calculated formation energy at 0.261 eV per atom. The density of states at the Fermi level comes out at 16.00 states/eV per cell.

It has space group C2/m (No. 12), with a = 7.462 Å, b = 5.397 Å, c = 5.356 Å, α = 90.00°, β = 90.08° and γ = 90.00°. The asymmetric unit holds Tc at (0.000, 0.000, 0.000), Ru at (0.000, 0.500, 0.000), Ru at (0.000, 0.500, 0.500) and Rh at (0.250, 0.250, 0.257).

Look up the electronic total energy of the first one. -22.833 eV/f.u.